# PBE Sr2CdIn3Pd4, relaxed
# DOS at the Fermi energy: 5.56 states/eV/f.u.
# formation energy from the elements: -0.5805 eV per atom
# magnetic moment: 0.0 μB per formula unit
data_Sr2CdIn3Pd4
_cell_length_a 4.720
_cell_length_b 4.720
_cell_length_c 10.788
_cell_angle_alpha 90.00
_cell_angle_beta 90.00
_cell_angle_gamma 90.00
_symmetry_space_group_name_H-M 'P 1'
_symmetry_Int_Tables_number 1
loop_
_symmetry_equiv_pos_as_xyz
'x,y,z'
loop_
_atom_site_label
_atom_site_fract_x
_atom_site_fract_y
_atom_site_fract_z
Sr1 0.000 0.500 0.241
Sr2 0.500 0.000 0.759
Cd1 0.000 0.000 0.500
In1 0.000 0.500 0.879
In2 0.500 0.000 0.121
In3 0.500 0.500 0.500
Pd1 0.000 0.000 0.000
Pd2 0.000 0.500 0.633
Pd3 0.500 0.000 0.367
Pd4 0.500 0.500 0.000

---

# PBE NpU2Co, relaxed
# DOS at the Fermi energy: 8.71 states/eV/f.u.
# formation energy from the elements: 0.2426 eV per atom
# magnetic moment: 0.0 μB per formula unit
data_NpU2Co
_cell_length_a 3.617
_cell_length_b 3.617
_cell_length_c 19.246
_cell_angle_alpha 90.00
_cell_angle_beta 90.00
_cell_angle_gamma 120.00
_symmetry_space_group_name_H-M 'P 1'
_symmetry_Int_Tables_number 1
loop_
_symmetry_equiv_pos_as_xyz
'x,y,z'
loop_
_atom_site_label
_atom_site_fract_x
_atom_site_fract_y
_atom_site_fract_z
Np1 0.000 0.000 0.000
Np2 0.333 0.667 0.667
Np3 0.667 0.333 0.333
U1 0.000 0.000 0.250
U2 0.000 0.000 0.750
U3 0.333 0.667 0.417
U4 0.333 0.667 0.917
U5 0.667 0.333 0.083
U6 0.667 0.333 0.583
Co1 0.000 0.000 0.500
Co2 0.333 0.667 0.167
Co3 0.667 0.333 0.833

---

# PBE Cs3ReOs, relaxed
# DOS at the Fermi energy: 6.95 states/eV/f.u.
# E above lowest polymorph: 0 meV per atom
# formation energy from the elements: 2.3033 eV per atom
# magnetic moment: 4.0 μB per formula unit
data_Cs3ReOs
_cell_length_a 6.056
_cell_length_b 6.056
_cell_length_c 6.056
_cell_angle_alpha 90.00
_cell_angle_beta 90.00
_cell_angle_gamma 90.00
_symmetry_space_group_name_H-M 'P 1'
_symmetry_Int_Tables_number 1
loop_
_symmetry_equiv_pos_as_xyz
'x,y,z'
loop_
_atom_site_label
_atom_site_fract_x
_atom_site_fract_y
_atom_site_fract_z
Cs1 0.000 0.000 0.500
Cs2 0.000 0.500 0.000
Cs3 0.500 0.000 0.000
Re1 0.500 0.500 0.500
Os1 0.000 0.000 0.000

---

# PBE OsAu2I2, relaxed
# DOS at the Fermi energy: 6.12 states/eV/f.u.
# E above lowest polymorph: 100 meV per atom
# E_form (uncorrected): 1272 meV/atom
# magnetic moment: 3.2 μB per formula unit
data_OsAu2I2
_cell_length_a 5.782
_cell_length_b 5.782
_cell_length_c 8.038
_cell_angle_alpha 90.00
_cell_angle_beta 90.00
_cell_angle_gamma 90.00
_symmetry_space_group_name_H-M 'P 1'
_symmetry_Int_Tables_number 1
loop_
_symmetry_equiv_pos_as_xyz
'x,y,z'
loop_
_atom_site_label
_atom_site_fract_x
_atom_site_fract_y
_atom_site_fract_z
Os1 0.000 0.000 0.000
Os2 0.500 0.500 0.500
Au1 0.000 0.000 0.331
Au2 0.000 0.000 0.669
Au3 0.500 0.500 0.169
Au4 0.500 0.500 0.831
I1 0.000 0.500 0.250
I2 0.000 0.500 0.750
I3 0.500 0.000 0.250
I4 0.500 0.000 0.750

---

# PBE ScZnTc, relaxed
# DOS at the Fermi energy: 1.86 states/eV/f.u.
# E above lowest polymorph: 136 meV per atom
# formation energy from the elements: -0.1812 eV per atom
# magnetic moment: 0.0 μB per formula unit
data_ScZnTc
_cell_length_a 4.510
_cell_length_b 4.510
_cell_length_c 5.572
_cell_angle_alpha 90.00
_cell_angle_beta 90.00
_cell_angle_gamma 120.00
_symmetry_space_group_name_H-M 'P 1'
_symmetry_Int_Tables_number 1
loop_
_symmetry_equiv_pos_as_xyz
'x,y,z'
loop_
_atom_site_label
_atom_site_fract_x
_atom_site_fract_y
_atom_site_fract_z
Sc1 0.000 0.000 0.000
Sc2 0.333 0.667 0.641
Zn1 0.000 0.000 0.478
Zn2 0.667 0.333 0.827
Tc1 0.333 0.667 0.161
Tc2 0.667 0.333 0.316

---

# PBE Dy2HoCdO, relaxed
# DOS at the Fermi energy: 2.52 states/eV/f.u.
# E_form (uncorrected): -1323 meV/atom
# magnetic moment: 0.0 μB per formula unit
data_Dy2HoCdO
_cell_length_a 4.787
_cell_length_b 4.787
_cell_length_c 4.762
_cell_angle_alpha 90.00
_cell_angle_beta 90.00
_cell_angle_gamma 90.00
_symmetry_space_group_name_H-M 'P 1'
_symmetry_Int_Tables_number 1
loop_
_symmetry_equiv_pos_as_xyz
'x,y,z'
loop_
_atom_site_label
_atom_site_fract_x
_atom_site_fract_y
_atom_site_fract_z
Dy1 0.000 0.500 0.000
Dy2 0.500 0.000 0.000
Ho1 0.000 0.000 0.500
Cd1 0.500 0.500 0.500
O1 0.000 0.000 0.000

---

# PBE Pr9ErCd2, relaxed
# DOS at the Fermi energy: 18.24 states/eV/f.u.
# formation energy from the elements: -0.0672 eV per atom
# magnetic moment: 0.0 μB per formula unit
data_Pr9ErCd2
_cell_length_a 5.058
_cell_length_b 5.058
_cell_length_c 15.352
_cell_angle_alpha 90.00
_cell_angle_beta 90.00
_cell_angle_gamma 90.00
_symmetry_space_group_name_H-M 'P 1'
_symmetry_Int_Tables_number 1
loop_
_symmetry_equiv_pos_as_xyz
'x,y,z'
loop_
_atom_site_label
_atom_site_fract_x
_atom_site_fract_y
_atom_site_fract_z
Pr1 0.000 0.000 0.000
Pr2 0.000 0.000 0.336
Pr3 0.000 0.000 0.664
Pr4 0.000 0.500 0.172
Pr5 0.000 0.500 0.500
Pr6 0.000 0.500 0.828
Pr7 0.500 0.000 0.172
Pr8 0.500 0.000 0.500
Pr9 0.500 0.000 0.828
Er1 0.500 0.500 0.000
Cd1 0.500 0.500 0.340
Cd2 0.500 0.500 0.660

---

# PBE La2DySi3Ir4, relaxed
# DOS at the Fermi energy: 6.00 states/eV/f.u.
# E_form (uncorrected): -957 meV/atom
# magnetic moment: 0.0 μB per formula unit
data_La2DySi3Ir4
_cell_length_a 4.187
_cell_length_b 4.187
_cell_length_c 11.005
_cell_angle_alpha 90.00
_cell_angle_beta 90.00
_cell_angle_gamma 90.00
_symmetry_space_group_name_H-M 'P 1'
_symmetry_Int_Tables_number 1
loop_
_symmetry_equiv_pos_as_xyz
'x,y,z'
loop_
_atom_site_label
_atom_site_fract_x
_atom_site_fract_y
_atom_site_fract_z
La1 0.000 0.500 0.235
La2 0.500 0.000 0.765
Dy1 0.000 0.000 0.500
Si1 0.000 0.500 0.884
Si2 0.500 0.000 0.116
Si3 0.500 0.500 0.500
Ir1 0.000 0.000 0.000
Ir2 0.000 0.500 0.663
Ir3 0.500 0.000 0.337
Ir4 0.500 0.500 0.000

---

# PBE Ba3In9Ag2, relaxed
# DOS at the Fermi energy: 4.83 states/eV/f.u.
# formation energy from the elements: -0.3401 eV per atom
# magnetic moment: 0.0 μB per formula unit
data_Ba3In9Ag2
_cell_length_a 9.486
_cell_length_b 9.486
_cell_length_c 9.486
_cell_angle_alpha 149.16
_cell_angle_beta 109.15
_cell_angle_gamma 79.24
_symmetry_space_group_name_H-M 'P 1'
_symmetry_Int_Tables_number 1
loop_
_symmetry_equiv_pos_as_xyz
'x,y,z'
loop_
_atom_site_label
_atom_site_fract_x
_atom_site_fract_y
_atom_site_fract_z
Ba1 0.000 0.000 0.000
Ba2 0.306 0.306 0.000
Ba3 0.694 0.694 0.000
In1 0.021 0.657 0.364
In2 0.141 0.860 0.281
In3 0.293 0.657 0.636
In4 0.421 0.140 0.281
In5 0.500 0.000 0.500
In6 0.579 0.860 0.719
In7 0.707 0.343 0.364
In8 0.859 0.140 0.719
In9 0.979 0.343 0.636
Ag1 0.304 0.500 0.804
Ag2 0.696 0.500 0.196

---

# PBE Zr3Be2Pt4, relaxed
# DOS at the Fermi energy: 5.53 states/eV/f.u.
# formation energy from the elements: -0.8779 eV per atom
# magnetic moment: 0.0 μB per formula unit
data_Zr3Be2Pt4
_cell_length_a 5.206
_cell_length_b 5.206
_cell_length_c 8.163
_cell_angle_alpha 113.55
_cell_angle_beta 113.55
_cell_angle_gamma 48.40
_symmetry_space_group_name_H-M 'P 1'
_symmetry_Int_Tables_number 1
loop_
_symmetry_equiv_pos_as_xyz
'x,y,z'
loop_
_atom_site_label
_atom_site_fract_x
_atom_site_fract_y
_atom_site_fract_z
Zr1 0.000 0.000 0.000
Zr2 0.356 0.356 0.315
Zr3 0.644 0.644 0.685
Be1 0.341 0.341 0.670
Be2 0.659 0.659 0.330
Pt1 0.091 0.091 0.402
Pt2 0.282 0.282 0.917
Pt3 0.718 0.718 0.083
Pt4 0.909 0.909 0.598